(1)
10
Lattice="-1.452 2.067 6.542 -6.849 -0.830 -1.258 0.248 -4.090 1.347" Properties=species:S:1:pos:R:3 comment="Zr2In2Fe (PBE, relaxed)" vol_a3_per_atom=21.2 spacegroup=P4/mbm e_above_lowest_polymorph_mev_per_atom=0 dft_energy_ev_per_atom=-6.17 delta_e_f_mev_per_atom=37 pbc="T T T"
Fe 0.000 0.000 0.000
Fe -4.150 0.618 2.642
Zr -4.689 -2.253 0.929
Zr -6.547 -1.357 3.992
Zr -3.363 -0.600 5.702
Zr -1.505 -1.496 2.639
In -6.394 0.027 1.261
In -5.644 1.239 4.803
In -1.907 1.209 4.023
In -2.656 -0.003 0.481

***

(2)
5
Lattice="5.381 0.000 0.000 0.000 5.381 0.000 0.000 0.000 5.381" Properties=species:S:1:pos:R:3 comment="Tm4Pd (PBE, relaxed)" vol_a3_per_atom=31.2 spacegroup=Pm-3m e_above_lowest_polymorph_mev_per_atom=169 dft_energy_ev_per_atom=-4.74 delta_e_f_mev_per_atom=-123 pbc="T T T"
Tm 0.000 0.000 0.000
Tm 2.690 0.000 2.690
Tm 0.000 2.690 2.690
Tm 2.690 2.690 0.000
Pd 2.690 2.690 2.690

***

(3)
13
Lattice="4.717 -0.782 -3.585 -1.501 8.050 -4.315 -1.359 -0.372 12.656" Properties=species:S:1:pos:R:3 comment="Pu3Br2O8 (PBE, relaxed)" vol_a3_per_atom=31.7 spacegroup=P-1 dft_energy_ev_per_atom=-8.68 e_form_raw_kj_per_mol_atoms=-200 pbc="T T T"
Pu 2.358 -0.391 -1.792
Pu 2.753 1.328 7.608
Pu -0.896 5.568 -2.851
Br 0.950 6.346 -1.046
Br 0.907 0.551 5.803
O -1.155 3.108 9.828
O 3.012 3.789 -5.071
O -1.528 6.325 5.460
O 3.385 0.571 -0.703
O -0.037 6.413 -4.250
O -0.533 0.636 11.093
O 2.390 6.260 -6.336
O 1.894 0.483 9.007

***

(4)
4
Lattice="2.853 0.000 0.000 1.426 2.471 0.000 1.426 0.824 10.188" Properties=species:S:1:pos:R:3 comment="Np2IrRu (PBE, relaxed)" vol_a3_per_atom=18.0 spacegroup=R-3m dft_energy_ev_per_atom=-10.71 delta_e_f_mev_per_atom=290 pbc="T T T"
Np 1.426 0.824 7.519
Np 4.279 2.471 2.670
Ru 2.853 1.647 5.094
Ir 0.000 0.000 0.000

***

(5)
4
Lattice="5.655 0.000 0.000 2.827 4.897 0.000 2.827 1.632 4.617" Properties=species:S:1:pos:R:3 comment="LiAcErTm (PBE, relaxed)" vol_a3_per_atom=32.0 spacegroup=F-43m dft_energy_ev_per_atom=-3.59 delta_e_f_mev_per_atom=174 pbc="T T T"
Ac 2.827 1.632 1.154
Tm 5.655 3.265 2.309
Li 0.000 0.000 0.000
Er 8.482 4.897 3.463

***

(6)
4
Lattice="3.588 0.000 0.000 0.000 3.586 0.000 0.000 0.000 6.926" Properties=species:S:1:pos:R:3 comment="Mg2ScCd (PBE, relaxed)" vol_a3_per_atom=22.3 spacegroup=P4mm dft_energy_ev_per_atom=-2.71 delta_e_f_mev_per_atom=-102 pbc="T T T"
Sc 0.000 0.000 3.507
Mg 0.000 0.000 6.905
Mg 1.794 1.793 1.708
Cd 1.794 1.793 5.195